Computed, not measured: an optimized crystal structure of IrC2F at the PBE level of DFT.

Geometry as POSCAR:
```
IrC2F
1.0
4.909 0.000 0.000
0.000 4.909 0.000
2.455 2.455 4.599
Ir C F
2 4 2
direct
0.000 0.000 0.000
0.750 0.250 0.500
0.875 0.947 0.750
0.375 0.303 0.750
0.053 0.625 0.250
0.697 0.125 0.250
0.500 0.500 0.000
0.250 0.750 0.500
```

Summary:
Relative energy among the computed polymorphs = 0 meV/atom
Formation energy (no corrections) = 1107 meV per atom



Computed, not measured: an optimized crystal structure of Zr4Zn2In at the PBE level of DFT.

Geometry as POSCAR:
```
Zr4Zn2In
1.0
7.559 -1.579 0.441
-2.084 7.410 0.762
-2.168 -2.505 5.028
Zr Zn In
8 4 2
direct
0.927 0.613 0.135
0.400 0.933 0.170
0.863 0.677 0.635
0.361 0.500 0.284
0.183 0.151 0.670
0.902 0.292 0.369
0.750 0.111 0.784
0.542 0.652 0.869
0.551 0.296 0.572
0.132 0.503 0.861
0.753 0.882 0.361
0.546 0.301 0.073
0.285 0.806 0.608
0.056 0.035 0.109
```

Summary:
ΔE_f = -1.4 eV per formula unit



Computed, not measured: an optimized crystal structure of Tl2HgMo at the PBE level of DFT.

Geometry as POSCAR:
```
Tl2HgMo
1.0
-4.466 -4.152 4.449
0.276 -6.986 2.847
2.220 7.111 -1.223
Tl Mo Hg
2 1 1
direct
0.066 0.066 0.000
0.753 0.253 0.500
0.251 0.751 0.500
0.429 0.429 0.000
```

Summary:
Relative energy among the computed polymorphs = 0 meV/atom
ΔE_f = 2.2 eV per formula unit



Computed, not measured: an optimized crystal structure of PrNdCBr at the PBE level of DFT.

Geometry as POSCAR:
```
PrNdCBr
1.0
3.816 0.000 0.000
-1.908 3.305 0.000
-1.908 -1.101 7.550
Pr Nd C Br
1 1 1 1
direct
0.514 0.155 0.684
0.092 0.944 0.051
0.306 0.551 0.872
0.966 0.381 0.362
```

Summary:
Formation energy (no corrections) = -865 meV per atom



Computed, not measured: an optimized crystal structure of TiZn2Au at the PBE level of DFT.

Geometry as POSCAR:
```
TiZn2Au
1.0
-0.632 -4.166 -0.169
1.768 -2.411 -0.050
1.613 -2.684 7.132
Zn Au Ti
2 1 1
direct
0.676 0.736 0.255
0.176 0.505 0.486
0.176 0.990 0.000
0.676 0.254 0.737
```

Summary:
ΔE_f = -0.9 eV per formula unit



Computed, not measured: an optimized crystal structure of NaSiPd at the PBE level of DFT.

Geometry as POSCAR:
```
NaSiPd
1.0
-2.568 3.018 -1.155
-3.968 -1.914 -3.604
-4.844 0.019 3.383
Na Si Pd
2 2 2
direct
0.286 0.518 0.000
0.134 0.109 0.708
0.567 0.505 0.450
0.852 0.124 0.259
0.935 0.709 0.508
0.484 0.920 0.201
```

Summary:
Formation energy (no corrections) = -338 meV per atom



Computed, not measured: an optimized crystal structure of K4TaPb at the PBE level of DFT.

Geometry as POSCAR:
```
K4TaPb
1.0
0.000 4.839 4.839
4.839 0.000 4.839
4.839 4.839 0.000
Ta K Pb
1 4 1
direct
0.000 0.000 0.000
0.375 0.875 0.375
0.375 0.375 0.375
0.375 0.375 0.875
0.875 0.375 0.375
0.750 0.750 0.750
```

Summary:
ΔE_f = 6.6 eV per formula unit



Computed, not measured: an optimized crystal structure of Cr5C3 at the PBE level of DFT.

Geometry as POSCAR:
```
Cr5C3
1.0
-0.328 5.946 -0.731
-1.947 -4.708 -3.169
-3.626 -0.537 4.755
Cr C
10 6
direct
0.459 0.742 0.135
0.242 0.959 0.135
0.743 0.607 0.283
0.960 0.824 0.717
0.607 0.324 0.865
0.108 0.242 0.283
0.232 0.731 0.500
0.824 0.107 0.865
0.732 0.231 0.500
0.325 0.460 0.717
0.279 0.278 0.000
0.591 0.765 0.500
0.765 0.265 0.174
0.779 0.778 0.000
0.265 0.091 0.500
0.091 0.590 0.826
```

Summary:
Relative energy among the computed polymorphs = 0 meV/atom
ΔE_f = 0.5 eV per formula unit



Computed, not measured: an optimized crystal structure of ScAgGe at the PBE level of DFT.

Geometry as POSCAR:
```
ScAgGe
1.0
4.470 0.002 -0.002
-2.234 5.041 -0.008
2.234 0.936 4.953
Sc Ag Ge
2 2 2
direct
0.262 0.810 0.158
0.762 0.307 0.656
0.010 0.890 0.742
0.514 0.394 0.239
0.511 0.724 0.575
0.013 0.226 0.073
```

Summary:
ΔE_f = -1.2 eV per formula unit



Computed, not measured: an optimized crystal structure of Ba6Ag3H2 at the PBE level of DFT.

Geometry as POSCAR:
```
Ba6Ag3H2
1.0
5.472 0.000 0.000
0.000 5.472 0.000
-2.736 -2.736 13.303
Ba Ag H
6 3 2
direct
0.420 0.920 0.840
0.920 0.420 0.840
0.080 0.580 0.160
0.295 0.295 0.591
0.580 0.080 0.160
0.705 0.705 0.409
0.000 0.000 0.000
0.167 0.167 0.333
0.833 0.833 0.667
0.602 0.602 0.203
0.398 0.398 0.797
```

Summary:
E_tot = -29.3 eV for the cell shown



Computed, not measured: an optimized crystal structure of Li2CaRe at the PBE level of DFT.

Geometry as POSCAR:
```
Li2CaRe
1.0
2.771 0.000 0.000
0.000 2.771 0.000
0.000 0.000 9.951
Li Re Ca
2 1 1
direct
0.000 0.000 0.019
0.500 0.500 0.274
0.000 0.000 0.483
0.500 0.500 0.724
```

Summary:
Relative energy among the computed polymorphs = 4 meV/atom
ΔE_f = 1.9 eV per formula unit



Computed, not measured: an optimized crystal structure of YTc2Rh at the PBE level of DFT.

Geometry as POSCAR:
```
YTc2Rh
1.0
9.809 -0.014 -0.008
9.400 2.803 -0.008
9.400 1.364 2.448
Rh Tc Y
1 2 1
direct
0.750 0.750 0.750
0.009 0.009 0.009
0.491 0.491 0.491
0.250 0.250 0.250
```

Summary:
Relative energy among the computed polymorphs = 507 meV/atom
ΔE_f = 1.9 eV per formula unit



Copy entry 11 word for word.
Computed, not measured: an optimized crystal structure of Li2CaRe at the PBE level of DFT.

Geometry as POSCAR:
```
Li2CaRe
1.0
2.771 0.000 0.000
0.000 2.771 0.000
0.000 0.000 9.951
Li Re Ca
2 1 1
direct
0.000 0.000 0.019
0.500 0.500 0.274
0.000 0.000 0.483
0.500 0.500 0.724
```

Summary:
Relative energy among the computed polymorphs = 4 meV/atom
ΔE_f = 1.9 eV per formula unit